Record 1
Below is a geometry-optimized Nd3DyY4 structure, with properties calculated at the PBE level.

Unit cell a=8.9852 b=8.9852 c=8.9852 alpha=157.59 beta=98.32 gamma=86.03
Closest atoms and distances in Å follow each position.
Atoms (fractional coordinates):
Nd (0.0000, 0.0000, 0.0000)  6 Nd 3.49-3.80, 8 Y 3.88
Nd (0.2570, 0.7570, 0.5000)  6 Y 3.39-3.67, 2 Nd 3.49, 2 Dy 3.64
Nd (0.7430, 0.2430, 0.5000)  6 Y 3.39-3.67, 2 Nd 3.49, 2 Dy 3.64
Dy (0.5000, 0.5000, 0.0000)  4 Y 3.39, 2 Dy 3.49, 4 Nd 3.64
Y (0.1197, 0.3659, 0.7538)  1 Dy 3.39, 3 Nd 3.39-3.67, 5 Y 3.49-3.52
Y (0.3879, 0.6341, 0.7538)  1 Dy 3.39, 3 Nd 3.39-3.67, 5 Y 3.49-3.52
Y (0.6121, 0.3659, 0.2462)  1 Dy 3.39, 3 Nd 3.39-3.67, 5 Y 3.49-3.52
Y (0.8803, 0.6341, 0.2462)  1 Dy 3.39, 3 Nd 3.39-3.67, 5 Y 3.49-3.52

Summary:
Symmetry = No. 71

=====

Record 2
Below is a geometry-optimized Nd5DyY structure, with properties calculated at the PBE level.

Unit cell a=8.9671 b=8.9671 c=10.9190 alpha=123.31 beta=123.31 gamma=43.81
Closest atoms and distances in Å follow each position.
Atoms (fractional coordinates):
Nd (0.0112, 0.9888, 0.7500)  2 Y 3.18-3.51, 6 Nd 3.36-3.52
Nd (0.0815, 0.5768, 0.9117)  5 Nd 3.37-3.62, 1 Y 3.51
Nd (0.1570, 0.6587, 0.4044)  1 Dy 3.35, 6 Nd 3.36-3.62, 2 Y 3.37-3.50
Nd (0.3413, 0.8430, 0.0956)  1 Dy 3.35, 6 Nd 3.36-3.62, 2 Y 3.37-3.50
Nd (0.4232, 0.9185, 0.5883)  5 Nd 3.37-3.62, 1 Y 3.51
Nd (0.5768, 0.0815, 0.4117)  5 Nd 3.37-3.62, 1 Y 3.51
Nd (0.6587, 0.1570, 0.9044)  1 Dy 3.35, 6 Nd 3.36-3.62, 2 Y 3.37-3.50
Nd (0.8430, 0.3413, 0.5956)  1 Dy 3.35, 6 Nd 3.36-3.62, 2 Y 3.37-3.50
Nd (0.9185, 0.4232, 0.0883)  5 Nd 3.37-3.62, 1 Y 3.51
Nd (0.9888, 0.0112, 0.2500)  2 Y 3.18-3.51, 6 Nd 3.36-3.52
Dy (0.0000, 0.5000, 0.5000)  4 Nd 3.35-3.72, 2 Y 3.72
Dy (0.5000, 0.0000, 0.0000)  4 Nd 3.35-3.72, 2 Y 3.72
Y (0.4867, 0.5133, 0.7500)  8 Nd 3.18-3.51
Y (0.5133, 0.4867, 0.2500)  8 Nd 3.18-3.51

Summary:
Symmetry = No. 15

=====

no.,DOS(E_F) (states/eV per cell),calculated formation energy (kJ/mol of formula units)
1,12.9,100
2,20.3,103